1.
Density functional theory data (PBE) for a relaxed structure of GdErCu.

As for the formation energy from the elements: 0.72 eV/atom.

The structure belongs to space group F-43m (No. 216); the cell edges are 6.7424, 6.7424 and 6.7424 Å and the angles 90.00°, 90.00° and 90.00°. The inequivalent atoms are Gd at (0.0000, 0.0000, 0.0000), Er at (0.2500, 0.2500, 0.2500) and Cu at (0.2500, 0.2500, 0.7500).

2.
Density functional theory data (PBE) for a relaxed structure of GdErCu2.

As for the formation energy from the elements: -0.25 eV/atom. The value obtained for the energy above the lowest structure with this stoichiometry is 9 meV per atom.

The structure belongs to space group Amm2 (No. 38); the cell edges are 4.4905, 3.6845 and 10.3033 Å and the angles 90.00°, 90.00° and 90.00°. The inequivalent atoms are Gd at (0.0000, 0.0000, 0.0000), Er at (0.5000, 0.0000, 0.7210), Cu at (0.0000, 0.0000, 0.2859) and Cu at (0.5000, 0.0000, 0.4313).

3.
Density functional theory data (PBE) for a relaxed structure of GdErCu2Ge2.

The calculation puts the total energy at -0.1837 Ha/atom.

The structure belongs to space group P3m1 (No. 156); the cell edges are 4.2293, 4.2293 and 7.3640 Å and the angles 90.00°, 90.00° and 120.00°. The inequivalent atoms are Gd at (0.0000, 0.0000, 0.0000), Er at (0.0000, 0.0000, 0.5003), Cu at (0.3333, 0.6667, 0.7299), Cu at (0.6667, 0.3333, 0.2321), Ge at (0.3333, 0.6667, 0.2670) and Ge at (0.6667, 0.3333, 0.7650).

4.
Density functional theory data (PBE) for a relaxed structure of GdEr2Cu4Ge4.

The calculation puts the total energy at -0.1808 Ha/atom.

The structure belongs to space group Immm (No. 71); the cell edges are 4.1779, 6.6812 and 13.9174 Å and the angles 90.00°, 90.00° and 90.00°. The inequivalent atoms are Gd at (0.0000, 0.0000, 0.0000), Er at (0.0000, 0.5000, 0.1299), Cu at (0.0000, 0.3095, 0.3308), Ge at (0.0000, 0.0000, 0.2176) and Ge at (0.0000, 0.1895, 0.5000).

5.
Density functional theory data (PBE) for a relaxed structure of Gd2ErCu4Ge4.

The calculation puts the total energy at -0.1809 Ha/atom.

The structure belongs to space group Immm (No. 71); the cell edges are 4.2305, 6.6461 and 13.9999 Å and the angles 90.00°, 90.00° and 90.00°. The inequivalent atoms are Gd at (0.0000, 0.0000, 0.1305), Er at (0.0000, 0.5000, 0.0000), Cu at (0.0000, 0.1893, 0.3313), Ge at (0.0000, 0.3064, 0.5000) and Ge at (0.0000, 0.5000, 0.2155).

6.
Density functional theory data (PBE) for a relaxed structure of Gd2ErCu4Sn2Ge2.

The value obtained for the energy above the lowest structure with this stoichiometry is 0 meV per atom.

The structure belongs to space group Immm (No. 71); the cell edges are 4.3703, 6.6746 and 14.4891 Å and the angles 90.00°, 90.00° and 90.00°. The inequivalent atoms are Gd at (0.0000, 0.0000, 0.1251), Er at (0.0000, 0.5000, 0.0000), Cu at (0.0000, 0.1904, 0.3397), Sn at (0.0000, 0.5000, 0.2164) and Ge at (0.0000, 0.3062, 0.5000).

7.
Density functional theory data (PBE) for a relaxed structure of Gd2ErCu4Sn2Ge2.

The value obtained for the energy above the lowest structure with this stoichiometry is 64 meV per atom.

The structure belongs to space group Immm (No. 71); the cell edges are 4.3236, 6.9012 and 14.4111 Å and the angles 90.00°, 90.00° and 90.00°. The inequivalent atoms are Gd at (0.0000, 0.0000, 0.1354), Er at (0.0000, 0.5000, 0.0000), Cu at (0.0000, 0.1881, 0.3236), Sn at (0.0000, 0.2958, 0.5000) and Ge at (0.0000, 0.5000, 0.2149).

8.
Density functional theory data (PBE) for a relaxed structure of GdEr2In3Cu3.

The calculation puts the total energy at -0.1506 Ha/atom.

The structure belongs to space group Amm2 (No. 38); the cell edges are 3.8541, 13.0354 and 7.5115 Å and the angles 90.00°, 90.00° and 90.00°. The inequivalent atoms are Gd at (0.0000, 0.0000, 0.0000), Er at (0.0000, 0.2047, 0.3854), In at (0.5000, 0.0000, 0.3344), In at (0.5000, 0.1289, 0.7170), Cu at (0.0000, 0.0000, 0.5887) and Cu at (0.5000, 0.1683, 0.0902).